Record 1
VASP calculation (PBE) on a geometry-optimized Pm6Tm3Cd structure.

Results
DFT formation energy	-0.02	eV/atom
symmetry	No. 11

Lattice parameters (Å, degrees): 5.070 11.083 11.305 91.63 90.00 90.00
Sites, in units of the cell vectors:
Pm1 0.250 0.450 0.102
Pm2 0.750 0.550 0.898
Pm3 0.250 0.153 0.192
Pm4 0.750 0.847 0.808
Pm5 0.250 0.652 0.701
Pm6 0.750 0.348 0.299
Pm7 0.250 0.241 0.496
Pm8 0.750 0.759 0.504
Pm9 0.250 0.857 0.312
Pm10 0.750 0.143 0.688
Pm11 0.250 0.047 0.895
Pm12 0.750 0.953 0.105
Tm1 0.250 0.550 0.400
Tm2 0.750 0.450 0.600
Tm3 0.250 0.349 0.794
Tm4 0.750 0.651 0.206
Tm5 0.250 0.751 0.007
Tm6 0.750 0.249 0.993
Cd1 0.250 0.950 0.602
Cd2 0.750 0.050 0.398

=====

Record 2
VASP calculation (PBE) on a geometry-optimized La8CoNiIr2 structure.

Results
DFT formation energy	-0.37	eV/atom
symmetry	No. 10

Lattice parameters (Å, degrees): 6.793 6.778 8.534 90.00 90.00 88.38
Sites, in units of the cell vectors:
La1 0.186 0.808 0.243
La2 0.694 0.699 0.000
La3 0.814 0.192 0.243
La4 0.814 0.192 0.757
La5 0.306 0.301 0.000
La6 0.186 0.808 0.757
La7 0.691 0.697 0.500
La8 0.309 0.303 0.500
Co1 0.000 0.000 0.000
Ni1 0.000 0.000 0.500
Ir1 0.500 0.500 0.750
Ir2 0.500 0.500 0.250

=====

Record 3
VASP calculation (PBE) on a geometry-optimized UFeCoB2 structure.

Results
DFT formation energy	-0.40	eV/atom
symmetry	No. 119

Lattice parameters (Å, degrees): 3.624 3.624 4.917 111.62 111.62 90.00
Sites, in units of the cell vectors:
U1 0.000 0.000 0.000
Fe1 0.750 0.250 0.500
Co1 0.250 0.750 0.500
B1 0.619 0.619 0.238
B2 0.381 0.381 0.762